No. 1
First-principles (PBEsol) data for crystalline Ti3AlPt at its relaxed geometry, as listed in Alexandria.

Computed properties:
DOS(E_F)   5.7 states/eV/f.u.
Calculated density   5.75 g/cm³
Uncorrected energy   -6.872 eV/atom

Cell: 4.7258 4.7258 4.7258 Å, 90.00 90.00 90.00°
Last column: nearest neighbours and their distance in Å.
Sites, in units of the cell vectors:
Ti1 0.0000 0.0000 0.5000  2 Pt 2.36
Ti2 0.0000 0.5000 0.0000  2 Pt 2.36
Ti3 0.5000 0.0000 0.0000  2 Pt 2.36
Al1 0.5000 0.5000 0.5000  12 Ti 3.34
Pt1 0.0000 0.0000 0.0000  6 Ti 2.36

No. 2
First-principles (PBEsol) data for crystalline TiAlPt at its relaxed geometry, as listed in Alexandria.

Computed properties:
DOS(E_F)   2.2 states/eV/f.u.
Calculated density   10.00 g/cm³
Uncorrected energy   -7.382 eV/atom

Cell: 4.4033 4.4033 5.3364 Å, 90.00 90.00 120.00°
Last column: nearest neighbours and their distance in Å.
Sites, in units of the cell vectors:
Ti1 0.0000 0.0000 0.0000  2 Ti 2.67, 6 Pt 2.87, 6 Al 2.87
Ti2 0.0000 0.0000 0.5000  2 Ti 2.67, 6 Al 2.87, 6 Pt 2.87
Al1 0.3333 0.6667 0.2500  5 Pt 2.54-2.67
Al2 0.6667 0.3333 0.7500  5 Pt 2.54-2.67
Pt1 0.3333 0.6667 0.7500  5 Al 2.54-2.67
Pt2 0.6667 0.3333 0.2500  5 Al 2.54-2.67

No. 3
First-principles (PBEsol) data for crystalline TiAlPt2 at its relaxed geometry, as listed in Alexandria.

Computed properties:
DOS(E_F)   3.1 states/eV/f.u.
Calculated density   11.74 g/cm³
Uncorrected energy   -7.015 eV/atom

Cell: 8.9115 8.9115 8.9115 Å, 154.44 154.44 36.47°
Last column: nearest neighbours and their distance in Å.
Sites, in units of the cell vectors:
Ti1 0.0000 0.0000 0.0000  4 Pt 2.54, 4 Al 2.79
Ti2 0.7500 0.2500 0.5000  4 Pt 2.54, 4 Al 2.79
Al1 0.2500 0.7500 0.5000  4 Pt 2.53, 4 Ti 2.79
Al2 0.5000 0.5000 0.0000  4 Pt 2.53, 4 Ti 2.79
Pt1 0.1301 0.6250 0.0051  2 Al 2.53, 2 Ti 2.54, 4 Pt 2.76-2.82
Pt2 0.3750 0.3801 0.5051  2 Al 2.53, 2 Ti 2.54, 4 Pt 2.76-2.82
Pt3 0.6199 0.1250 0.9949  2 Al 2.53, 2 Ti 2.54, 4 Pt 2.76-2.82
Pt4 0.8750 0.8699 0.4949  2 Al 2.53, 2 Ti 2.54, 4 Pt 2.76-2.82

No. 4
First-principles (PBEsol) data for crystalline AlTl2Pt at its relaxed geometry, as listed in Alexandria.

Computed properties:
DOS(E_F)   1.7 states/eV/f.u.
Calculated density   12.13 g/cm³
Uncorrected energy   -4.100 eV/atom

Cell: 6.3747 6.3747 6.3747 Å, 151.47 135.43 53.78°
Last column: nearest neighbours and their distance in Å.
Sites, in units of the cell vectors:
Al1 0.0000 0.0000 0.0000  2 Pt 2.45
Tl1 0.4130 0.4130 0.0000  4 Al 3.05, 4 Tl 3.14-3.28, 2 Pt 3.23
Tl2 0.7183 0.2183 0.5000  4 Pt 2.95, 4 Tl 3.14-3.28
Pt1 0.1650 0.6650 0.5000  2 Al 2.45

No. 5
First-principles (PBEsol) data for crystalline Al2PtW at its relaxed geometry, as listed in Alexandria.

Computed properties:
DOS(E_F)   1.6 states/eV/f.u.
Calculated density   12.03 g/cm³
Energy above the lowest structure with this stoichiometry   25 meV per atom

Cell: 8.7426 8.7426 8.7426 Å, 18.66 18.66 18.66°
Last column: nearest neighbours and their distance in Å.
Sites, in units of the cell vectors:
Al1 0.2470 0.2470 0.2470  3 Pt 2.64, 3 W 2.76, 6 Al 2.83
Al2 0.7530 0.7530 0.7530  3 Pt 2.64, 3 W 2.76, 6 Al 2.83
Pt1 0.5000 0.5000 0.5000  6 Al 2.64, 6 Pt 2.83
W1 0.0000 0.0000 0.0000  6 Al 2.76, 6 W 2.83

No. 6
First-principles (PBEsol) data for crystalline Al2PtW at its relaxed geometry, as listed in Alexandria.

Computed properties:
DOS(E_F)   2.1 states/eV/f.u.
Calculated density   12.17 g/cm³
Energy above the lowest structure with this stoichiometry   0 meV per atom

Cell: 4.6860 4.6860 2.7595 Å, 90.00 90.00 102.95°
Last column: nearest neighbours and their distance in Å.
Sites, in units of the cell vectors:
Al1 0.0000 0.5000 0.0000  4 W 2.72, 4 Pt 2.72, 4 Al 2.76-2.92
Al2 0.5000 0.0000 0.0000  4 W 2.72, 4 Pt 2.72, 4 Al 2.76-2.92
Pt1 0.0000 0.0000 0.5000  8 Al 2.72, 2 Pt 2.76, 2 W 2.92
W1 0.5000 0.5000 0.5000  8 Al 2.72, 2 W 2.76, 2 Pt 2.92

No. 7
First-principles (PBEsol) data for crystalline Al3PtW at its relaxed geometry, as listed in Alexandria.

Computed properties:
DOS(E_F)   3.5 states/eV/f.u.
Calculated density   7.78 g/cm³
Uncorrected energy   -5.832 eV/atom

Cell: 4.6120 4.6120 4.6120 Å, 90.00 90.00 90.00°
Last column: nearest neighbours and their distance in Å.
Sites, in units of the cell vectors:
Al1 0.0000 0.0000 0.5000  2 Pt 2.31
Al2 0.0000 0.5000 0.0000  2 Pt 2.31
Al3 0.5000 0.0000 0.0000  2 Pt 2.31
Pt1 0.0000 0.0000 0.0000  6 Al 2.31
W1 0.5000 0.5000 0.5000  12 Al 3.26

No. 8
First-principles (PBEsol) data for crystalline YAl2Pt2 at its relaxed geometry, as listed in Alexandria.

Computed properties:
DOS(E_F)   2.5 states/eV/f.u.
Calculated density   9.76 g/cm³
Uncorrected energy   -6.891 eV/atom

Cell: 6.3684 6.3684 6.3684 Å, 143.53 143.53 52.53°
Last column: nearest neighbours and their distance in Å.
Sites, in units of the cell vectors:
Y1 0.0000 0.0000 0.0000  8 Pt 3.12, 8 Al 3.48
Al1 0.2500 0.7500 0.5000  4 Pt 2.51
Al2 0.7500 0.2500 0.5000  4 Pt 2.51
Pt1 0.3831 0.3831 0.0000  4 Al 2.51, 1 Pt 2.67
Pt2 0.6169 0.6169 0.0000  4 Al 2.51, 1 Pt 2.67

Copy entry 2 word for word.
First-principles (PBEsol) data for crystalline TiAlPt at its relaxed geometry, as listed in Alexandria.

Computed properties:
DOS(E_F)   2.2 states/eV/f.u.
Calculated density   10.00 g/cm³
Uncorrected energy   -7.382 eV/atom

Cell: 4.4033 4.4033 5.3364 Å, 90.00 90.00 120.00°
Last column: nearest neighbours and their distance in Å.
Sites, in units of the cell vectors:
Ti1 0.0000 0.0000 0.0000  2 Ti 2.67, 6 Pt 2.87, 6 Al 2.87
Ti2 0.0000 0.0000 0.5000  2 Ti 2.67, 6 Al 2.87, 6 Pt 2.87
Al1 0.3333 0.6667 0.2500  5 Pt 2.54-2.67
Al2 0.6667 0.3333 0.7500  5 Pt 2.54-2.67
Pt1 0.3333 0.6667 0.7500  5 Al 2.54-2.67
Pt2 0.6667 0.3333 0.2500  5 Al 2.54-2.67